Arrangement one

A geometry-optimized BeSe2O structure, computed with PBE.

Cell and atoms, written as POSCAR:
```
BeSe2O
1.0
0.723 1.250 3.968
0.224 4.117 0.909
-3.078 1.840 2.228
Se Be O
2 1 1
direct
0.750 0.750 0.750
0.250 0.250 0.250
0.000 0.000 0.000
0.500 0.500 0.500
```

Arrangement two

A geometry-optimized BeSe2O structure, computed with PBE.

Cell and atoms, written as POSCAR:
```
BeSe2O
1.0
-0.964 -4.164 6.517
0.450 -6.235 4.653
2.149 -4.146 6.239
Se O Be
2 1 1
direct
0.093 0.093 0.093
0.907 0.907 0.907
0.500 0.500 0.500
0.000 0.000 0.000
```

Arrangement three

A geometry-optimized BeSe2O structure, computed with PBE.

Cell and atoms, written as POSCAR:
```
BeSe2O
1.0
4.872 0.000 0.000
0.000 4.872 0.000
2.436 2.436 5.847
Se Be O
4 2 2
direct
0.629 0.125 0.250
0.875 0.879 0.750
0.121 0.625 0.250
0.375 0.371 0.750
0.500 0.500 0.000
0.250 0.750 0.500
0.750 0.250 0.500
0.000 0.000 0.000
```

Which of them is most stable, and which least? Most stable: arrangement three; least stable: arrangement two.

Arrangement one

A geometry-optimized BeSeO2 structure, computed with PBE.

Cell and atoms, written as POSCAR:
```
BeSeO2
1.0
2.583 1.568 2.408
-0.540 3.581 1.347
-0.908 0.551 3.715
O Be Se
2 1 1
direct
0.250 0.250 0.250
0.750 0.750 0.750
0.000 0.000 0.000
0.500 0.500 0.500
```

Arrangement two

A geometry-optimized BeSeO2 structure, computed with PBE.

Cell and atoms, written as POSCAR:
```
BeSeO2
1.0
-3.031 -3.795 4.285
-0.224 -4.136 4.979
-1.700 -1.832 5.975
Be O Se
1 2 1
direct
0.000 0.000 0.000
0.077 0.077 0.077
0.923 0.923 0.923
0.500 0.500 0.500
```

Which of them is most stable, and which least? Most stable: arrangement two; least stable: arrangement one.

Arrangement one

A geometry-optimized Be2SiO4 structure, computed with PBE.

Cell and atoms, written as POSCAR:
```
Be2SiO4
1.0
3.902 0.000 0.000
0.000 3.902 0.000
0.000 0.000 3.939
Be O Si
2 4 1
direct
0.500 0.000 0.500
0.000 0.500 0.500
0.764 0.764 0.261
0.764 0.236 0.739
0.236 0.236 0.261
0.236 0.764 0.739
0.000 0.000 0.000
```

Arrangement two

A geometry-optimized Be2SiO4 structure, computed with PBE.

Cell and atoms, written as POSCAR:
```
Be2SiO4
1.0
3.686 0.000 -1.474
-0.590 3.639 -1.474
-0.220 -0.258 4.796
O Be Si
4 2 1
direct
0.139 0.139 0.732
0.407 0.861 0.268
0.861 0.407 0.268
0.593 0.593 0.732
0.250 0.750 0.500
0.750 0.250 0.500
0.500 0.500 0.000
```

Arrangement three

A geometry-optimized Be2SiO4 structure, computed with PBE.

Cell and atoms, written as POSCAR:
```
Be2SiO4
1.0
6.190 0.054 0.210
2.017 7.144 0.244
-3.879 -0.225 10.463
O Be Si
24 12 6
direct
0.973 0.560 0.117
0.774 0.602 0.701
0.886 0.114 0.704
0.915 0.223 0.142
0.360 0.406 0.834
0.027 0.440 0.883
0.620 0.717 0.910
0.655 0.424 0.463
0.729 0.942 0.103
0.114 0.886 0.296
0.640 0.594 0.166
0.085 0.777 0.858
0.361 0.964 0.180
0.560 0.396 0.784
0.704 0.125 0.310
0.955 0.852 0.509
0.639 0.036 0.820
0.271 0.058 0.897
0.296 0.875 0.690
0.226 0.398 0.299
0.380 0.283 0.090
0.045 0.148 0.491
0.440 0.604 0.216
0.345 0.576 0.537
0.259 0.464 0.164
0.958 0.021 0.174
0.257 0.276 0.938
0.012 0.044 0.602
0.326 0.816 0.247
0.988 0.956 0.398
0.741 0.536 0.836
0.743 0.724 0.062
0.624 0.541 0.582
0.376 0.459 0.418
0.674 0.184 0.753
0.042 0.979 0.826
0.164 0.700 0.615
0.075 0.582 0.782
0.836 0.300 0.385
0.529 0.081 0.165
0.925 0.418 0.218
0.471 0.919 0.835
```

Arrangement four

A geometry-optimized Be2SiO4 structure, computed with PBE.

Cell and atoms, written as POSCAR:
```
Be2SiO4
1.0
-1.736 -0.011 -7.572
-6.103 -2.854 3.868
1.018 7.375 2.221
Be O Si
12 24 6
direct
0.431 0.610 0.206
0.794 0.569 0.390
0.279 0.873 0.101
0.721 0.127 0.899
0.873 0.101 0.279
0.610 0.206 0.431
0.127 0.899 0.721
0.899 0.721 0.127
0.101 0.279 0.873
0.569 0.390 0.794
0.390 0.794 0.569
0.206 0.431 0.610
0.038 0.706 0.003
0.997 0.962 0.294
0.294 0.624 0.329
0.371 0.040 0.337
0.663 0.629 0.960
0.624 0.329 0.294
0.003 0.038 0.706
0.040 0.337 0.371
0.329 0.294 0.624
0.960 0.663 0.629
0.671 0.706 0.376
0.706 0.376 0.671
0.337 0.371 0.040
0.084 0.416 0.749
0.916 0.584 0.251
0.962 0.294 0.997
0.584 0.251 0.916
0.749 0.084 0.416
0.629 0.960 0.663
0.706 0.003 0.038
0.294 0.997 0.962
0.251 0.916 0.584
0.416 0.749 0.084
0.376 0.671 0.706
0.234 0.054 0.461
0.054 0.461 0.234
0.539 0.766 0.946
0.946 0.539 0.766
0.766 0.946 0.539
0.461 0.234 0.054
```

Which of them is most stable, and which least? Most stable: arrangement four; least stable: arrangement three.

Arrangement one

A geometry-optimized BeSiO structure, computed with PBE.

Cell and atoms, written as POSCAR:
```
BeSiO
1.0
2.686 0.000 0.000
1.343 2.326 0.000
0.427 0.316 12.751
O Be Si
2 2 2
direct
0.323 0.857 0.188
0.965 0.490 0.423
0.298 0.823 0.422
0.989 0.524 0.189
0.066 0.418 0.721
0.386 0.731 0.890
```

Arrangement two

A geometry-optimized BeSiO structure, computed with PBE.

Cell and atoms, written as POSCAR:
```
BeSiO
1.0
4.642 0.000 0.002
0.000 2.640 0.000
-4.336 0.000 11.412
Si O Be
4 4 4
direct
0.333 0.500 0.449
0.897 0.500 0.520
0.333 0.000 0.949
0.897 0.000 0.020
0.559 0.000 0.729
0.559 0.500 0.229
0.019 0.500 0.681
0.019 0.000 0.181
0.239 0.000 0.746
0.239 0.500 0.246
0.689 0.000 0.204
0.689 0.500 0.704
```

Which of them is most stable, and which least? Most stable: arrangement one; least stable: arrangement two.

Arrangement one

A geometry-optimized BeSiO structure, computed with PBE.

Cell and atoms, written as POSCAR:
```
BeSiO
1.0
-0.693 -1.964 1.695
2.579 0.696 -0.265
-1.009 6.402 7.005
O Si Be
2 2 2
direct
0.667 0.333 0.280
0.333 0.667 0.510
0.667 0.333 0.070
0.667 0.333 0.815
0.333 0.667 0.335
0.667 0.333 0.566
```

Arrangement two

A geometry-optimized BeSiO structure, computed with PBE.

Cell and atoms, written as POSCAR:
```
BeSiO
1.0
-0.813 -0.809 -2.321
4.121 -2.067 -0.722
-3.144 -7.028 2.123
Be Si O
2 2 2
direct
0.489 0.245 0.571
0.988 0.745 0.572
0.263 0.586 0.033
0.227 0.086 0.107
0.487 0.574 0.574
0.990 0.074 0.568
```

Arrangement three

A geometry-optimized BeSiO structure, computed with PBE.

Cell and atoms, written as POSCAR:
```
BeSiO
1.0
2.682 0.000 -0.001
0.000 2.667 0.000
-0.592 0.000 8.689
O Be Si
2 2 2
direct
0.349 0.500 0.485
0.802 0.000 0.265
0.871 0.500 0.587
0.322 0.000 0.365
0.958 0.000 0.807
0.679 0.000 0.067
```

Arrangement four

A geometry-optimized BeSiO structure, computed with PBE.

Cell and atoms, written as POSCAR:
```
BeSiO
1.0
3.964 0.000 0.006
0.000 2.823 0.000
-3.621 0.000 12.039
Be O Si
4 4 4
direct
0.766 0.500 0.170
0.162 0.000 0.078
0.766 0.000 0.670
0.162 0.500 0.578
0.997 0.000 0.594
0.997 0.500 0.094
0.568 0.500 0.683
0.568 0.000 0.183
0.186 0.000 0.889
0.632 0.000 0.332
0.632 0.500 0.832
0.186 0.500 0.389
```

Which of them is most stable, and which least? Most stable: arrangement one; least stable: arrangement four.

Arrangement one

A geometry-optimized BeSiO structure, computed with PBE.

Cell and atoms, written as POSCAR:
```
BeSiO
1.0
2.611 0.000 0.000
0.000 2.762 0.000
0.000 0.000 8.321
Be Si O
2 2 2
direct
0.000 0.500 0.408
0.500 0.000 0.637
0.000 0.500 0.923
0.000 0.000 0.182
0.000 0.000 0.752
0.500 0.500 0.522
```

Arrangement two

A geometry-optimized BeSiO structure, computed with PBE.

Cell and atoms, written as POSCAR:
```
BeSiO
1.0
2.639 0.000 0.000
1.320 2.286 0.000
0.082 0.157 7.892
O Be Si
1 1 1
direct
0.988 0.563 0.890
0.321 0.896 0.890
0.976 0.559 0.390
```

Which of them is most stable, and which least? Most stable: arrangement two; least stable: arrangement one.

Arrangement one

A geometry-optimized Be2SiO2 structure, computed with PBE.

Cell and atoms, written as POSCAR:
```
Be2SiO2
1.0
3.291 0.000 0.000
0.000 3.291 0.000
1.645 1.645 7.197
Si Be O
1 2 2
direct
0.000 0.000 0.000
0.749 0.749 0.502
0.251 0.251 0.498
0.250 0.750 0.500
0.750 0.250 0.500
```

Arrangement two

A geometry-optimized Be2SiO2 structure, computed with PBE.

Cell and atoms, written as POSCAR:
```
Be2SiO2
1.0
-5.969 2.480 0.908
-1.674 -5.289 3.440
0.755 1.077 2.024
Si O Be
2 4 4
direct
0.000 0.000 0.000
0.500 0.500 0.000
0.116 0.616 0.500
0.384 0.116 0.500
0.884 0.384 0.500
0.616 0.884 0.500
0.901 0.599 0.000
0.401 0.901 0.000
0.599 0.099 0.000
0.099 0.401 0.000
```

Which of them is most stable, and which least? Most stable: arrangement one; least stable: arrangement two.

Arrangement one

A geometry-optimized BeSi3O structure, computed with PBE.

Cell and atoms, written as POSCAR:
```
BeSi3O
1.0
-2.110 2.534 -2.611
-1.491 -3.355 -2.051
-3.319 -0.103 2.582
Si O Be
3 1 1
direct
0.000 0.500 0.000
0.000 0.000 0.500
0.500 0.000 0.000
0.500 0.500 0.500
0.000 0.000 0.000
```

Arrangement two

A geometry-optimized BeSi3O structure, computed with PBE.

Cell and atoms, written as POSCAR:
```
BeSi3O
1.0
4.085 0.000 0.000
0.000 4.085 0.000
0.000 0.000 4.085
Be Si O
1 3 1
direct
0.500 0.500 0.500
0.000 0.000 0.500
0.500 0.000 0.000
0.000 0.500 0.000
0.000 0.000 0.000
```

Which of them is most stable, and which least? Most stable: arrangement two; least stable: arrangement one.